Entry 1:
First-principles (PBE) data for Hf2Zr2Cd after structural relaxation, as listed in Alexandria via LeMat-Bulk.

Cell lengths 7.6340, 7.6340, 3.9621 Å; angles 90.00, 90.00, 90.00 degrees
With the nearest neighbours (Å) after each atom.
Element x y z (fractional)
1 Zr 0.1602 0.6602 0.5000  6 Hf 2.97-3.01
2 Zr 0.6602 0.8398 0.5000  6 Hf 2.97-3.01
3 Zr 0.3398 0.1602 0.5000  6 Hf 2.97-3.01
4 Zr 0.8398 0.3398 0.5000  6 Hf 2.97-3.01
5 Hf 0.6352 0.1352 0.0000  1 Hf 2.92, 6 Zr 2.97-3.01, 2 Cd 2.97
6 Hf 0.3648 0.8648 0.0000  1 Hf 2.92, 6 Zr 2.97-3.01, 2 Cd 2.97
7 Hf 0.1352 0.3648 0.0000  1 Hf 2.92, 6 Zr 2.97-3.01, 2 Cd 2.97
8 Hf 0.8648 0.6352 0.0000  1 Hf 2.92, 6 Zr 2.97-3.01, 2 Cd 2.97
9 Cd 0.0000 0.0000 0.0000  4 Hf 2.97
10 Cd 0.5000 0.5000 0.0000  4 Hf 2.97

Computed properties:
Final energy in hartree per atom: -0.27317
Density in g/cm³: 9.4
Distance to the lowest polymorph of the same formula in kJ per mole of atoms: 13.5
Calculated formation energy in eV/f.u.: 0.8


Entry 2:
First-principles (PBE) data for HfZrCd2 after structural relaxation, as listed in Alexandria via LeMat-Bulk.

Cell lengths 3.4965, 3.4965, 7.0339 Å; angles 90.00, 90.00, 90.00 degrees
With the nearest neighbours (Å) after each atom.
Element x y z (fractional)
1 Zr 0.5000 0.5000 0.5000  8 Cd 3.05
2 Cd 0.0000 0.0000 0.7549  4 Hf 3.01, 4 Zr 3.05
3 Cd 0.0000 0.0000 0.2451  4 Hf 3.01, 4 Zr 3.05
4 Hf 0.5000 0.5000 0.0000  8 Cd 3.01

Computed properties:
Final energy in hartree per atom: -0.18683
Density in g/cm³: 9.5
Calculated formation energy in eV/f.u.: 0.0


Entry 3:
First-principles (PBE) data for Hf2ZrCd3 after structural relaxation, as listed in Alexandria via LeMat-Bulk.

Cell lengths 7.6923, 4.3996, 10.7437 Å; angles 66.53, 61.87, 53.98 degrees
With the nearest neighbours (Å) after each atom.
Element x y z (fractional)
1 Cd 0.1677 0.1662 0.9162  4 Cd 3.06-3.16, 5 Hf 3.11-3.12, 3 Zr 3.11-3.12
2 Cd 0.8323 0.8338 0.5838  4 Cd 3.06-3.16, 5 Hf 3.10-3.12, 3 Zr 3.11-3.12
3 Cd 0.1677 0.1662 0.4162  4 Cd 3.06-3.16, 5 Hf 3.10-3.12, 3 Zr 3.11-3.12
4 Cd 0.8323 0.8338 0.0838  4 Cd 3.06-3.16, 5 Hf 3.11-3.12, 3 Zr 3.11-3.12
5 Cd 0.5000 0.5000 0.2500  4 Cd 3.06-3.15, 6 Hf 3.11-3.12, 2 Zr 3.11
6 Cd 0.5000 0.5000 0.7500  4 Cd 3.06-3.15, 6 Hf 3.11-3.12, 2 Zr 3.11
7 Hf 0.6661 0.6658 0.4175  2 Hf 3.06-3.14, 2 Zr 3.07-3.16, 8 Cd 3.10-3.12
8 Hf 0.6661 0.6657 0.9174  2 Hf 3.06-3.14, 2 Zr 3.07-3.16, 8 Cd 3.11-3.12
9 Hf 0.3339 0.3343 0.0826  2 Hf 3.06-3.14, 2 Zr 3.07-3.16, 8 Cd 3.11-3.12
10 Hf 0.3339 0.3342 0.5825  2 Hf 3.06-3.14, 2 Zr 3.07-3.16, 8 Cd 3.10-3.12
11 Zr 0.9999 0.0000 0.2500  4 Hf 3.07-3.16, 8 Cd 3.11-3.12
12 Zr 0.0001 0.0000 0.7500  4 Hf 3.07-3.16, 8 Cd 3.11-3.12

Computed properties:
Final energy in hartree per atom: -0.19193
Density in g/cm³: 10.2
Calculated formation energy in eV/f.u.: -0.1


Entry 4:
First-principles (PBE) data for Hf6Zr7Cd16 after structural relaxation, as listed in Alexandria via LeMat-Bulk.

Cell lengths 9.8288, 9.8288, 9.8288 Å; angles 60.00, 60.00, 60.00 degrees
With the nearest neighbours (Å) after each atom.
Element x y z (fractional)
1 Cd 0.1185 0.6446 0.1185  3 Hf 3.06, 3 Zr 3.07, 3 Cd 3.29
2 Cd 0.6336 0.6336 0.0992  4 Zr 2.95-3.22, 3 Hf 3.01
3 Cd 0.3554 0.8815 0.8815  3 Hf 3.06, 3 Zr 3.07, 3 Cd 3.29
4 Cd 0.6336 0.0992 0.6336  4 Zr 2.95-3.22, 3 Hf 3.01
5 Cd 0.3664 0.9008 0.3664  4 Zr 2.95-3.22, 3 Hf 3.01
6 Cd 0.8815 0.3554 0.8815  3 Hf 3.06, 3 Zr 3.07, 3 Cd 3.29
7 Cd 0.3664 0.3664 0.3664  4 Zr 2.95-3.22, 3 Hf 3.01
8 Cd 0.3664 0.3664 0.9008  4 Zr 2.95-3.22, 3 Hf 3.01
9 Cd 0.9008 0.3664 0.3664  4 Zr 2.95-3.22, 3 Hf 3.01
10 Cd 0.1185 0.1185 0.1185  3 Hf 3.06, 3 Zr 3.07, 3 Cd 3.29
11 Cd 0.6446 0.1185 0.1185  3 Hf 3.06, 3 Zr 3.07, 3 Cd 3.29
12 Cd 0.1185 0.1185 0.6446  3 Hf 3.06, 3 Zr 3.07, 3 Cd 3.29
13 Cd 0.8815 0.8815 0.8815  3 Hf 3.06, 3 Zr 3.07, 3 Cd 3.29
14 Cd 0.6336 0.6336 0.6336  4 Zr 2.95-3.22, 3 Hf 3.01
15 Cd 0.8815 0.8815 0.3554  3 Hf 3.06, 3 Zr 3.07, 3 Cd 3.29
16 Cd 0.0992 0.6336 0.6336  4 Zr 2.95-3.22, 3 Hf 3.01
17 Zr 0.5000 0.0000 0.0000  8 Cd 2.95-3.07
18 Zr 0.0000 0.5000 0.5000  8 Cd 2.95-3.07
19 Zr 0.5000 0.0000 0.5000  8 Cd 2.95-3.07
20 Zr 0.5000 0.5000 0.0000  8 Cd 2.95-3.07
21 Zr 0.5000 0.5000 0.5000  8 Cd 3.22, 6 Hf 3.32
22 Zr 0.0000 0.5000 0.0000  8 Cd 2.95-3.07
23 Zr 0.0000 0.0000 0.5000  8 Cd 2.95-3.07
24 Hf 0.2611 0.7389 0.7389  8 Cd 3.01-3.06, 1 Zr 3.32
25 Hf 0.7389 0.7389 0.2611  8 Cd 3.01-3.06, 1 Zr 3.32
26 Hf 0.7389 0.2611 0.7389  8 Cd 3.01-3.06, 1 Zr 3.32
27 Hf 0.7389 0.2611 0.2611  8 Cd 3.01-3.06, 1 Zr 3.32
28 Hf 0.2611 0.7389 0.2611  8 Cd 3.01-3.06, 1 Zr 3.32
29 Hf 0.2611 0.2611 0.7389  8 Cd 3.01-3.06, 1 Zr 3.32

Computed properties:
Final energy in hartree per atom: -0.16587
Density in g/cm³: 8.7
Calculated formation energy in eV/f.u.: 3.3


Entry 5:
First-principles (PBE) data for HfZr9Cd2 after structural relaxation, as listed in Alexandria via LeMat-Bulk.

Cell lengths 4.4932, 4.4932, 13.4216 Å; angles 90.00, 90.00, 90.00 degrees
With the nearest neighbours (Å) after each atom.
Element x y z (fractional)
1 Zr 0.5000 0.5000 0.0000  8 Zr 3.16, 4 Hf 3.18
2 Zr 0.0000 0.5000 0.1660  8 Zr 3.16-3.22, 2 Hf 3.16, 2 Cd 3.19
3 Zr 0.0000 0.5000 0.5000  8 Zr 3.13-3.18, 4 Cd 3.16
4 Zr 0.5000 0.5000 0.3379  8 Zr 3.13-3.22, 4 Cd 3.18
5 Zr 0.5000 0.0000 0.5000  8 Zr 3.13-3.18, 4 Cd 3.16
6 Zr 0.5000 0.0000 0.8340  8 Zr 3.16-3.22, 2 Hf 3.16, 2 Cd 3.19
7 Zr 0.0000 0.5000 0.8340  8 Zr 3.16-3.22, 2 Hf 3.16, 2 Cd 3.19
8 Zr 0.5000 0.0000 0.1660  8 Zr 3.16-3.22, 2 Hf 3.16, 2 Cd 3.19
9 Zr 0.5000 0.5000 0.6621  8 Zr 3.13-3.22, 4 Cd 3.18
10 Cd 0.0000 0.0000 0.3346  12 Zr 3.16-3.19
11 Cd 0.0000 0.0000 0.6654  12 Zr 3.16-3.19
12 Hf 0.0000 0.0000 0.0000  12 Zr 3.16-3.18

Computed properties:
Final energy in hartree per atom: -0.27344
Density in g/cm³: 7.5
Calculated formation energy in eV/f.u.: -0.6


Entry 6:
First-principles (PBE) data for HfZr2Cd4 after structural relaxation, as listed in Alexandria via LeMat-Bulk.

Cell lengths 4.7734, 6.1267, 11.2632 Å; angles 90.00, 90.00, 90.00 degrees
With the nearest neighbours (Å) after each atom.
Element x y z (fractional)
1 Zr 0.5000 0.3837 0.1334  2 Hf 2.91, 8 Cd 2.98-3.24
2 Zr 0.5000 0.8837 0.3666  2 Hf 2.91, 8 Cd 2.98-3.24
3 Zr 0.5000 0.6163 0.8666  2 Hf 2.91, 8 Cd 2.98-3.24
4 Zr 0.5000 0.1163 0.6334  2 Hf 2.91, 8 Cd 2.98-3.24
5 Hf 0.0000 0.5000 0.0000  4 Zr 2.91, 2 Cd 3.24
6 Hf 0.0000 0.0000 0.5000  4 Zr 2.91, 2 Cd 3.24
7 Cd 0.0000 0.3819 0.7197  4 Zr 3.05-3.24, 4 Cd 3.14, 2 Hf 3.24-3.41
8 Cd 0.0000 0.8819 0.7803  4 Zr 3.05-3.24, 4 Cd 3.14, 2 Hf 3.24-3.41
9 Cd 0.0000 0.6181 0.2803  4 Zr 3.05-3.24, 4 Cd 3.14, 2 Hf 3.24-3.41
10 Cd 0.5000 0.1329 0.8987  3 Cd 2.80-3.14, 3 Zr 2.98-3.06
11 Cd 0.5000 0.6329 0.6013  3 Cd 2.80-3.14, 3 Zr 2.98-3.06
12 Cd 0.5000 0.8671 0.1013  3 Cd 2.80-3.14, 3 Zr 2.98-3.06
13 Cd 0.0000 0.1181 0.2197  4 Zr 3.05-3.24, 4 Cd 3.14, 2 Hf 3.24-3.41
14 Cd 0.5000 0.3671 0.3987  3 Cd 2.80-3.14, 3 Zr 2.98-3.06

Computed properties:
Final energy in hartree per atom: -0.15637
Density in g/cm³: 8.2
Calculated formation energy in eV/f.u.: 0.9


Entry 7:
First-principles (PBE) data for Hf4Zr5Cd2 after structural relaxation, as listed in Alexandria via LeMat-Bulk.

Cell lengths 3.2274, 11.5468, 13.5547 Å; angles 149.18, 90.14, 81.82 degrees
With the nearest neighbours (Å) after each atom.
Element x y z (fractional)
1 Zr 0.8681 0.2662 0.3652  5 Hf 3.08-3.27, 7 Zr 3.10-3.26
2 Zr 0.9511 0.0985 0.4606  4 Zr 3.10-3.23, 4 Cd 3.15-3.19, 4 Hf 3.16-3.19
3 Zr 0.1319 0.7338 0.6348  5 Hf 3.08-3.27, 7 Zr 3.10-3.26
4 Zr 0.0489 0.9015 0.5394  4 Zr 3.10-3.23, 4 Cd 3.15-3.19, 4 Hf 3.16-3.19
5 Zr 0.5000 0.0000 0.0000  6 Hf 3.11-3.19, 6 Zr 3.20-3.23
6 Hf 0.2241 0.5531 0.7314  7 Zr 3.11-3.27, 4 Hf 3.15-3.23, 1 Cd 3.26
7 Hf 0.5900 0.8209 0.0919  5 Zr 3.08-3.19, 4 Hf 3.15-3.23, 3 Cd 3.17-3.20
8 Hf 0.4100 0.1791 0.9081  5 Zr 3.08-3.19, 4 Hf 3.15-3.23, 3 Cd 3.17-3.20
9 Hf 0.7759 0.4469 0.2686  7 Zr 3.11-3.27, 4 Hf 3.15-3.23, 1 Cd 3.26
10 Cd 0.6816 0.6350 0.1787  4 Cd 3.10-3.23, 4 Zr 3.15-3.19, 4 Hf 3.17-3.26
11 Cd 0.3184 0.3650 0.8213  4 Cd 3.10-3.23, 4 Zr 3.15-3.19, 4 Hf 3.17-3.26

Computed properties:
Final energy in hartree per atom: -0.28166
Density in g/cm³: 9.3
Calculated formation energy in eV/f.u.: 0.1


Entry 8:
First-principles (PBE) data for HfZr3Cd after structural relaxation, as listed in Alexandria via LeMat-Bulk.

Cell lengths 3.2152, 9.6797, 10.4865 Å; angles 125.16, 98.84, 60.06 degrees
With the nearest neighbours (Å) after each atom.
Element x y z (fractional)
1 Zr 0.7366 0.5596 0.6522  2 Cd 3.13, 7 Zr 3.14-3.31, 3 Hf 3.18-3.20
2 Zr 0.2773 0.0308 0.1459  7 Zr 3.09-3.22, 3 Cd 3.10-3.38, 2 Hf 3.16
3 Zr 0.2587 0.2426 0.7452  4 Zr 3.09-3.31, 4 Hf 3.10-3.15, 4 Cd 3.16-3.20
4 Zr 0.7227 0.9692 0.8541  7 Zr 3.09-3.22, 3 Cd 3.10-3.38, 2 Hf 3.16
5 Zr 0.7413 0.7574 0.2548  4 Zr 3.09-3.31, 4 Hf 3.10-3.15, 4 Cd 3.16-3.20
6 Zr 0.2634 0.4404 0.3478  2 Cd 3.13, 7 Zr 3.14-3.31, 3 Hf 3.18-3.20
7 Cd 0.2590 0.6424 0.9449  9 Zr 3.10-3.38, 3 Cd 3.19-3.22
8 Cd 0.7410 0.3576 0.0551  9 Zr 3.10-3.38, 3 Cd 3.19-3.22
9 Hf 0.7462 0.1536 0.4539  9 Zr 3.10-3.20, 3 Hf 3.22-3.23
10 Hf 0.2538 0.8464 0.5461  9 Zr 3.10-3.20, 3 Hf 3.22-3.23

Computed properties:
Final energy in hartree per atom: -0.26982
Density in g/cm³: 8.3
Distance to the lowest polymorph of the same formula in kJ per mole of atoms: 0.0
Calculated formation energy in eV/f.u.: -0.2


Entry 9:
First-principles (PBE) data for HfZr2Cd6 after structural relaxation, as listed in Alexandria via LeMat-Bulk.

Cell lengths 8.4403, 8.4403, 3.1260 Å; angles 90.00, 90.00, 120.00 degrees
With the nearest neighbours (Å) after each atom.
Element x y z (fractional)
1 Zr 0.6667 0.3333 0.0000  2 Zr 3.13, 12 Cd 3.22
2 Zr 0.3333 0.6667 0.0000  2 Zr 3.13, 12 Cd 3.22
3 Hf 0.0000 0.0000 0.0000  2 Hf 3.13, 12 Cd 3.21
4 Cd 0.3324 0.3324 0.5000  5 Cd 2.81-3.13
5 Cd 0.6676 0.0000 0.5000  5 Cd 2.81-3.13
6 Cd 0.3324 0.0000 0.5000  5 Cd 2.81-3.13
7 Cd 0.0000 0.3324 0.5000  5 Cd 2.81-3.13
8 Cd 0.6676 0.6676 0.5000  5 Cd 2.81-3.13
9 Cd 0.0000 0.6676 0.5000  5 Cd 2.81-3.13

Computed properties:
Final energy in hartree per atom: -0.13421
Density in g/cm³: 8.9
Calculated formation energy in eV/f.u.: -0.3


Entry 10:
First-principles (PBE) data for Hf3Zr7Cd2 after structural relaxation, as listed in Alexandria via LeMat-Bulk.

Cell lengths 3.1090, 5.3710, 16.8290 Å; angles 99.18, 90.00, 90.00 degrees
With the nearest neighbours (Å) after each atom.
Element x y z (fractional)
1 Zr 0.5000 0.0870 0.1739  8 Zr 3.11-3.28, 2 Cd 3.30
2 Zr 0.0000 0.2672 0.5344  4 Zr 2.92-3.11, 2 Hf 3.01, 1 Cd 3.08
3 Zr 0.0000 0.0000 0.0000  4 Hf 3.10, 6 Zr 3.11-3.28
4 Zr 0.0000 0.7328 0.4656  4 Zr 2.92-3.11, 2 Hf 3.01, 1 Cd 3.08
5 Zr 0.0000 0.4217 0.8433  4 Hf 2.99-3.03, 6 Zr 3.11-3.12
6 Zr 0.0000 0.5783 0.1567  4 Hf 2.99-3.03, 6 Zr 3.11-3.12
7 Zr 0.5000 0.9130 0.8261  8 Zr 3.11-3.28, 2 Cd 3.30
8 Cd 0.0000 0.1746 0.3492  5 Zr 3.08-3.31, 2 Cd 3.11, 4 Hf 3.17
9 Cd 0.0000 0.8254 0.6508  5 Zr 3.08-3.31, 2 Cd 3.11, 4 Hf 3.17
10 Hf 0.5000 0.6552 0.3105  4 Zr 2.99-3.01, 2 Hf 3.11, 4 Cd 3.17
11 Hf 0.5000 0.5000 0.0000  8 Zr 3.03-3.10, 2 Hf 3.11
12 Hf 0.5000 0.3448 0.6895  4 Zr 2.99-3.01, 2 Hf 3.11, 4 Cd 3.17

Computed properties:
Final energy in hartree per atom: -0.27271
Density in g/cm³: 8.4
Calculated formation energy in eV/f.u.: 2.5


Entry 11:
First-principles (PBE) data for HfZr6Cd2 after structural relaxation, as listed in Alexandria via LeMat-Bulk.

Cell lengths 3.2221, 8.1018, 8.9074 Å; angles 62.95, 85.29, 79.60 degrees
With the nearest neighbours (Å) after each atom.
Element x y z (fractional)
1 Hf 0.0000 0.0000 0.0000  4 Cd 3.09, 4 Zr 3.10-3.13, 2 Hf 3.22
2 Cd 0.5000 0.8340 0.3319  6 Zr 3.09-3.14, 2 Hf 3.09, 2 Cd 3.22
3 Cd 0.5000 0.1660 0.6681  6 Zr 3.09-3.14, 2 Hf 3.09, 2 Cd 3.22
4 Zr 0.8315 0.1701 0.3286  7 Zr 3.05-3.22, 3 Cd 3.09-3.14
5 Zr 0.1685 0.5013 0.3286  7 Zr 3.05-3.22, 3 Cd 3.09-3.14
6 Zr 0.6593 0.6655 0.0000  8 Zr 3.04-3.22, 2 Hf 3.10-3.13
7 Zr 0.1685 0.8299 0.6714  7 Zr 3.05-3.22, 3 Cd 3.09-3.14
8 Zr 0.8315 0.4987 0.6714  7 Zr 3.05-3.22, 3 Cd 3.09-3.14
9 Zr 0.3407 0.3345 0.0000  8 Zr 3.04-3.22, 2 Hf 3.10-3.13

Computed properties:
Final energy in hartree per atom: -0.25515
Density in g/cm³: 7.8
Calculated formation energy in eV/f.u.: 0.6


Entry 12:
First-principles (PBE) data for Hf4Zr9Cd11 after structural relaxation, as listed in Alexandria via LeMat-Bulk.

Cell lengths 3.1872, 12.7903, 12.7903 Å; angles 89.88, 90.00, 90.00 degrees
With the nearest neighbours (Å) after each atom.
Element x y z (fractional)
1 Cd 0.0000 0.0761 0.4134  4 Cd 2.95-3.19, 2 Hf 3.07, 6 Zr 3.14-3.20
2 Cd 0.0000 0.7600 0.7600  4 Cd 3.05-3.19, 4 Hf 3.09, 4 Zr 3.11
3 Cd 0.0000 0.6514 0.3486  3 Cd 3.14-3.19, 6 Zr 3.17-3.21, 4 Hf 3.23
4 Cd 0.0000 0.4134 0.0761  4 Cd 2.95-3.19, 2 Hf 3.07, 6 Zr 3.14-3.20
5 Cd 0.0000 0.0000 0.0000  8 Zr 3.11, 4 Cd 3.16-3.19
6 Cd 0.0000 0.1746 0.8254  8 Zr 3.09-3.13, 4 Cd 3.14-3.19
7 Cd 0.0000 0.9239 0.5866  4 Cd 2.95-3.19, 2 Hf 3.07, 6 Zr 3.14-3.20
8 Cd 0.0000 0.3486 0.6514  3 Cd 3.14-3.19, 6 Zr 3.17-3.21, 4 Hf 3.23
9 Cd 0.0000 0.5866 0.9239  4 Cd 2.95-3.19, 2 Hf 3.07, 6 Zr 3.14-3.20
10 Cd 0.0000 0.8254 0.1746  8 Zr 3.09-3.13, 4 Cd 3.14-3.19
11 Cd 0.0000 0.2400 0.2400  4 Cd 3.05-3.19, 4 Hf 3.09, 4 Zr 3.11
12 Zr 0.5000 0.2062 0.0337  4 Zr 3.05-3.19, 8 Cd 3.11-3.14
13 Zr 0.5000 0.7938 0.9663  4 Zr 3.05-3.19, 8 Cd 3.11-3.14
14 Zr 0.5000 0.6223 0.1326  1 Hf 2.95, 3 Zr 3.05-3.19, 8 Cd 3.09-3.21
15 Zr 0.5000 0.3777 0.8674  1 Hf 2.95, 3 Zr 3.05-3.19, 8 Cd 3.09-3.21
16 Zr 0.5000 0.9663 0.7938  4 Zr 3.05-3.19, 8 Cd 3.11-3.14
17 Zr 0.5000 0.5000 0.5000  4 Hf 2.92, 4 Cd 3.17, 2 Zr 3.19
18 Zr 0.5000 0.8674 0.3777  1 Hf 2.95, 3 Zr 3.05-3.19, 8 Cd 3.09-3.21
19 Zr 0.5000 0.0337 0.2062  4 Zr 3.05-3.19, 8 Cd 3.11-3.14
20 Zr 0.5000 0.1326 0.6223  1 Hf 2.95, 3 Zr 3.05-3.19, 8 Cd 3.09-3.21
21 Hf 0.5000 0.7211 0.5564  2 Zr 2.92-2.95, 3 Hf 2.98-3.19, 6 Cd 3.07-3.23
22 Hf 0.5000 0.2789 0.4436  2 Zr 2.92-2.95, 3 Hf 2.98-3.19, 6 Cd 3.07-3.23
23 Hf 0.5000 0.4436 0.2789  2 Zr 2.92-2.95, 3 Hf 2.98-3.19, 6 Cd 3.07-3.23
24 Hf 0.5000 0.5564 0.7211  2 Zr 2.92-2.95, 3 Hf 2.98-3.19, 6 Cd 3.07-3.23

Computed properties:
Final energy in hartree per atom: -0.19473
Density in g/cm³: 8.8
Calculated formation energy in eV/f.u.: -0.4